Below is a relaxed structure of TcAsRhBr2, with properties calculated at the GGA-PBE level.

abc: 5.156 5.156 4.702
angles: 90.00 90.00 90.00
Space group P4/mmm (No. 123)
Unique sites:
Tc 0.000 0.000 0.000 x1
As 0.000 0.000 0.500 x1
Rh 0.500 0.500 0.500 x1
Br 0.000 0.500 0.000 x2

Energy: -21.02 eV/cell
Raw formation energy: 21.7 kcal/mol of atoms
Excess energy over the best structure of this formula in the dataset: 0.060 eV/atom